Below is NaNd2VO6 after structural relaxation, with properties calculated at the PBE with a Hubbard U level.

Cell and atoms, written as POSCAR:
```
NaNd2VO6
1.0
5.503 0.000 0.000
0.000 5.910 0.000
-5.375 0.000 7.913
Na Nd V O
2 4 2 12
direct
0.000 0.000 0.000
0.000 0.500 0.500
0.226 0.071 0.746
0.226 0.429 0.246
0.774 0.571 0.754
0.774 0.929 0.254
0.500 0.000 0.500
0.500 0.500 0.000
0.167 0.169 0.451
0.167 0.331 0.951
0.270 0.725 0.432
0.270 0.775 0.932
0.390 0.048 0.275
0.390 0.452 0.775
0.610 0.548 0.225
0.610 0.952 0.725
0.730 0.225 0.068
0.730 0.275 0.568
0.833 0.669 0.049
0.833 0.831 0.549
```

Values from the calculation:
Calculated total energy ... -7.46 eV/atom
Crystal system ... monoclinic
Density ... 5.92 g/cm³
Total magnetization ... 0.00 μB/atom
Fermi-level density of states ... 0.000 states/eV/cell